{
  "formula": "CrPNF2",
  "functional": "GGA+U",
  "state": "relaxed",
  "cell": [[4.3852, 0.0000, 0.0000], [0.0000, 4.3852, 0.0000], [0.0000, 0.0000, 3.3271]],
  "species": ["N", "F", "P", "Cr", "F"],
  "fractional_positions": [[0.0000, 0.0000, 0.5000], [0.5000, 0.0000, 0.0000], [0.0000, 0.0000, 0.0000], [0.5000, 0.5000, 0.5000], [0.0000, 0.5000, 0.0000]],
  "total_energy_ev_per_cell": -27.45
}